! Li3Y3AlSe8 (PBE-GGA, relaxed); values from VASP
! Energy = -5.2134 eV per atom
! Fermi-level density of states = 8.009 states/eV/f.u.
! Energy relative to the elements, uncorrected = -1.4299 eV/atom
&SYSTEM
  ibrav = 0, nat = 15, ntyp = 4
/
ATOMIC_SPECIES
Li 6.94 Li.upf
Y 88.91 Y.upf
Al 26.98 Al.upf
Se 78.96 Se.upf
ATOMIC_POSITIONS crystal
Li 0.0000 0.0000 0.0000
Li 0.0000 0.5000 0.0000
Li 0.5000 0.5000 0.0000
Y 0.5000 0.0000 0.5000
Y 0.5000 0.5000 0.5000
Y 0.0000 0.5000 0.5000
Al 0.0000 0.0000 0.5000
Se 0.2474 0.4948 0.2424
Se 0.7526 0.5052 0.7576
Se 0.7668 0.5336 0.2604
Se 0.2332 0.4664 0.7396
Se 0.7669 0.9935 0.2605
Se 0.2331 0.0065 0.7395
Se 0.2266 0.9935 0.2605
Se 0.7734 0.0065 0.7395
CELL_PARAMETERS angstrom
-1.9307 7.6847 1.3265
-2.0290 -5.6337 5.3562
7.5824 2.0734 -0.9758